{"formula": "Zn2Fe2Mo", "functional": "PBE-GGA", "state": "relaxed", "cell": [[6.075, 0.000, 0.000], [0.000, 6.075, 0.000], [0.000, 0.000, 3.760]], "species": ["Fe", "Fe", "Fe", "Fe", "Zn", "Zn", "Zn", "Zn", "Mo", "Mo"], "fractional_positions": [[0.129, 0.371, 0.000], [0.871, 0.629, 0.000], [0.371, 0.871, 0.000], [0.629, 0.129, 0.000], [0.330, 0.170, 0.500], [0.830, 0.330, 0.500], [0.670, 0.830, 0.500], [0.170, 0.670, 0.500], [0.500, 0.500, 0.000], [0.000, 0.000, 0.000]], "density_g_cm3": 8.10, "crystal_system": "tetragonal", "total_magnetization_mub_per_cell": 4.19, "dft_energy_ev_per_cell": -57.1, "delta_e_f_mev_per_atom": 355}